# Na2DyVF8 PBE+U optimized geometry
data_Na2DyVF8
_chemical_formula_sum 'Na2 Dy1 V1 F8'
_cell_length_a 5.0831
_cell_length_b 6.7573
_cell_length_c 5.1780
_cell_angle_alpha 90.00
_cell_angle_beta 91.37
_cell_angle_gamma 90.00
_space_group_name_H-M_alt 'P 1 2/m 1'
_space_group_IT_number 10
_space_group_name_Hall '-P 2y'
loop_
_atom_site_label
_atom_site_type_symbol
_atom_site_fract_x
_atom_site_fract_y
_atom_site_fract_z
_atom_site_occupancy
Na1 Na 0.0000 0.2395 0.0000 1
Dy1 Dy 0.5000 0.5000 0.5000 1
V1 V 0.5000 0.0000 0.5000 1
F1 F 0.1988 0.5000 0.2053 1
F2 F 0.2305 0.0000 0.2331 1
F3 F 0.3208 0.2302 0.6784 1
# VASP energy = -68.7 eV/cell